(1)
{"formula": "Nd5TmN6", "functional": "PBE", "state": "optimized geometry", "sg": "C2/m (12)", "e_tot_ev_per_cell": -95.2, "rho_g_cm3": 8.08, "lattice": [[-2.3515, 1.7352, 5.5319], [3.0875, -2.9296, 4.5911], [5.0928, 2.6279, 2.5204]], "species": ["N", "N", "Nd", "Tm", "N", "N", "Nd", "Nd", "Nd", "Nd", "N", "N"], "fractional_positions": [[0.7541, 0.7582, 0.0000], [0.2442, 0.5950, 0.3235], [0.0000, 0.6669, 0.6661], [0.0000, 0.0000, 0.0000], [0.7558, 0.4050, 0.6765], [0.7558, 0.0815, 0.3235], [0.5000, 0.5000, 0.0000], [0.5000, 0.8349, 0.3303], [0.5000, 0.1651, 0.6697], [0.0000, 0.3331, 0.3339], [0.2459, 0.2418, 0.0000], [0.2442, 0.9185, 0.6765]]}

(2)
{"formula": "Nd2TmN", "functional": "PBE", "state": "optimized geometry", "sg": "R-3m (166)", "e_tot_ev_per_cell": -24.4, "rho_g_cm3": 7.36, "lattice": [[-1.3682, 3.1862, 0.8510], [-1.4693, 2.0455, -2.5308], [-9.5030, -2.3695, 1.0836]], "species": ["Nd", "Tm", "N", "Nd"], "fractional_positions": [[0.1186, 0.1186, 0.6442], [0.0000, 0.0000, 0.0000], [0.5000, 0.5000, 0.5000], [0.8814, 0.8814, 0.3558]]}

(3)
{"formula": "Nd2TmUN4", "functional": "PBE", "state": "optimized geometry", "sg": "P2/m (10)", "e_tot_ev_per_cell": -70.7, "rho_g_cm3": 10.14, "lattice": [[-0.8474, 3.3732, 0.5586], [-4.4607, -1.7208, 3.6245], [5.1116, 0.7297, 3.3473]], "species": ["Nd", "N", "Nd", "U", "Tm", "N", "N", "N"], "fractional_positions": [[0.5000, 0.0000, 0.5000], [0.5000, 0.2270, 0.2108], [0.0000, 0.5000, 0.5000], [0.0000, 0.0000, 0.0000], [0.5000, 0.5000, 0.0000], [0.5000, 0.7730, 0.7892], [0.0000, 0.2421, 0.7871], [0.0000, 0.7579, 0.2129]]}

(4)
{"formula": "Nd3Tm2UN6", "functional": "PBE", "state": "optimized geometry", "sg": "C2/m (12)", "e_tot_ev_per_cell": -103.2, "rho_g_cm3": 9.84, "lattice": [[6.0467, 0.0024, 0.0011], [-3.0198, 5.2387, 0.0011], [-1.0084, -1.7460, 5.8215]], "species": ["N", "N", "Nd", "Tm", "Nd", "N", "U", "N", "N", "N", "Tm", "Nd"], "fractional_positions": [[0.7577, 0.7577, 0.2195], [0.0727, 0.3877, 0.2182], [0.1685, 0.8315, 0.5000], [0.3337, 0.6663, 0.0000], [0.5000, 0.5000, 0.5000], [0.9273, 0.6123, 0.7818], [0.0000, 0.0000, 0.0000], [0.6123, 0.9273, 0.7818], [0.2423, 0.2423, 0.7805], [0.3877, 0.0727, 0.2182], [0.6663, 0.3337, 0.0000], [0.8315, 0.1685, 0.5000]]}

(5)
{"formula": "NdTm2VN4", "functional": "PBE", "state": "optimized geometry", "sg": "Cmcm (63)", "e_tot_ev_per_cell": -135.0, "rho_g_cm3": 8.62, "lattice": [[-0.7477, 2.3422, -2.2897], [-5.2579, -1.5775, 2.5680], [1.4246, 8.2763, 8.0009]], "species": ["N", "N", "N", "Tm", "Nd", "N", "N", "Tm", "V", "V", "Tm", "Tm", "N", "N", "Nd", "N"], "fractional_positions": [[0.7370, 0.4741, 0.8778], [0.5777, 0.1554, 0.2500], [0.7370, 0.4741, 0.6222], [0.6292, 0.2585, 0.0422], [0.0854, 0.1708, 0.7500], [0.0000, 0.0000, 0.0000], [0.2630, 0.5259, 0.1222], [0.6292, 0.2585, 0.4578], [0.1743, 0.3486, 0.2500], [0.8257, 0.6514, 0.7500], [0.3708, 0.7415, 0.9578], [0.3708, 0.7415, 0.5422], [0.0000, 0.0000, 0.5000], [0.2630, 0.5259, 0.3778], [0.9146, 0.8292, 0.2500], [0.4223, 0.8446, 0.7500]]}

(6)
{"formula": "NdTmW2N6", "functional": "PBE", "state": "optimized geometry", "sg": "C2/c (15)", "e_tot_ev_per_cell": -189.3, "rho_g_cm3": 7.74, "lattice": [[6.4427, 0.1006, 0.1044], [2.1807, 7.1702, 0.4229], [2.1807, 0.1568, 7.1810]], "species": ["Tm", "Nd", "N", "Nd", "N", "N", "W", "N", "Tm", "N", "N", "W", "N", "W", "N", "N", "W", "N", "N", "N"], "fractional_positions": [[0.2500, 0.2849, 0.7151], [0.7500, 0.0967, 0.9033], [0.4007, 0.3302, 0.3701], [0.2500, 0.9033, 0.0967], [0.6439, 0.1266, 0.6222], [0.0993, 0.6299, 0.6698], [0.2032, 0.3771, 0.2054], [0.9007, 0.3701, 0.3302], [0.7500, 0.7151, 0.2849], [0.3561, 0.8734, 0.3778], [0.8320, 0.0003, 0.2283], [0.7032, 0.2054, 0.3771], [0.5993, 0.6698, 0.6299], [0.7968, 0.6229, 0.7946], [0.8561, 0.3778, 0.8734], [0.6680, 0.7717, 0.9997], [0.2968, 0.7946, 0.6229], [0.3320, 0.2283, 0.0003], [0.1680, 0.9997, 0.7717], [0.1439, 0.6222, 0.1266]]}

(7)
{"formula": "Nd2TmZrN4", "functional": "PBE", "state": "optimized geometry", "sg": "P2/m (10)", "e_tot_ev_per_cell": -68.4, "rho_g_cm3": 8.44, "lattice": [[-1.6218, -1.8404, 2.4390], [2.5053, -5.0852, -2.1712], [5.2315, -0.9415, 2.7682]], "species": ["N", "N", "Tm", "Nd", "N", "Zr", "Nd", "N"], "fractional_positions": [[0.5000, 0.7253, 0.2488], [0.0000, 0.7219, 0.7665], [0.0000, 0.5000, 0.5000], [0.0000, 0.0000, 0.0000], [0.0000, 0.2781, 0.2335], [0.5000, 0.5000, 0.0000], [0.5000, 0.0000, 0.5000], [0.5000, 0.2747, 0.7512]]}

(8)
{"formula": "NdTm2ZrN4", "functional": "PBE", "state": "optimized geometry", "sg": "P2/m (10)", "e_tot_ev_per_cell": -68.7, "rho_g_cm3": 9.21, "lattice": [[3.4165, 0.0000, 0.0000], [0.0000, 5.9509, 0.1236], [0.0000, -2.0627, 5.5355]], "species": ["Zr", "N", "N", "N", "Tm", "N", "Tm", "Nd"], "fractional_positions": [[0.0000, 0.0000, 0.0000], [0.5000, 0.2351, 0.2467], [0.0000, 0.7691, 0.2548], [0.0000, 0.2309, 0.7452], [0.0000, 0.5000, 0.5000], [0.5000, 0.7649, 0.7533], [0.5000, 0.0000, 0.5000], [0.5000, 0.5000, 0.0000]]}

(9)
{"formula": "NdTmZr2N4", "functional": "PBE", "state": "optimized geometry", "sg": "Imma (74)", "e_tot_ev_per_cell": -145.5, "rho_g_cm3": 8.36, "lattice": [[-5.1914, -4.1793, -1.1780], [1.1745, -3.1131, 5.8936], [-0.9611, 6.6717, -0.1407]], "species": ["Zr", "N", "Zr", "N", "N", "Zr", "Tm", "Zr", "N", "N", "Tm", "Nd", "N", "N", "Nd", "N"], "fractional_positions": [[0.5000, 0.5000, 0.0000], [0.2682, 0.7758, 0.5220], [0.0000, 0.0000, 0.5000], [0.2758, 0.7682, 0.0220], [0.2607, 0.2393, 0.9929], [0.5000, 0.0000, 0.5000], [0.5000, 0.5000, 0.5000], [0.5000, 0.0000, 0.0000], [0.7242, 0.2318, 0.9780], [0.7393, 0.7607, 0.4929], [0.0000, 0.0000, 0.0000], [0.0000, 0.5000, 0.5000], [0.2607, 0.2393, 0.5071], [0.7393, 0.7607, 0.0071], [0.0000, 0.5000, 0.0000], [0.7318, 0.2242, 0.4780]]}

(10)
{"formula": "Nd5UN4", "functional": "PBE", "state": "optimized geometry", "sg": "C2/m (12)", "e_tot_ev_per_cell": -79.1, "rho_g_cm3": 8.33, "lattice": [[-1.4499, 2.7682, -1.7419], [-5.7247, -4.1849, -1.8854], [-1.6731, 1.6721, 7.7241]], "species": ["U", "Nd", "N", "Nd", "Nd", "N", "Nd", "Nd", "N", "N"], "fractional_positions": [[0.5000, 0.0000, 0.0000], [0.1669, 0.8450, 0.3338], [0.6509, 0.0734, 0.3017], [0.5000, 0.5000, 0.0000], [0.8331, 0.1550, 0.6662], [0.3491, 0.9266, 0.6983], [0.1574, 0.3124, 0.3147], [0.8426, 0.6876, 0.6853], [0.9979, 0.2067, 0.9957], [0.0021, 0.7933, 0.0043]]}

(11)
{"formula": "Nd6UN8", "functional": "PBE", "state": "optimized geometry", "sg": "R-3 (148)", "e_tot_ev_per_cell": -123.9, "rho_g_cm3": 8.22, "lattice": [[0.2698, -2.7470, 6.0038], [6.2880, -0.9076, 1.8172], [1.7519, 4.5105, 4.5001]], "species": ["Nd", "Nd", "N", "N", "Nd", "N", "N", "N", "N", "N", "U", "Nd", "Nd", "N", "Nd"], "fractional_positions": [[0.0520, 0.4973, 0.7069], [0.5027, 0.2931, 0.9480], [0.9047, 0.1633, 0.6781], [0.8367, 0.3219, 0.0953], [0.4973, 0.7069, 0.0520], [0.3243, 0.3243, 0.3243], [0.6757, 0.6757, 0.6757], [0.3219, 0.0953, 0.8367], [0.6781, 0.9047, 0.1633], [0.1633, 0.6781, 0.9047], [0.0000, 0.0000, 0.0000], [0.2931, 0.9480, 0.5027], [0.7069, 0.0520, 0.4973], [0.0953, 0.8367, 0.3219], [0.9480, 0.5027, 0.2931]]}

(12)
{"formula": "Nd3U5N12", "functional": "PBE", "state": "optimized geometry", "sg": "Ia-3d (230)", "e_tot_ev_per_cell": -779.8, "rho_g_cm3": 9.06, "lattice": [[11.9485, 0.0000, 0.0000], [-3.9828, 11.2652, 0.0000], [-3.9828, -5.6326, 9.7559]], "species": ["U", "N", "N", "Nd", "Nd", "N", "U", "Nd", "N", "Nd", "Nd", "U", "U", "Nd", "U", "N", "N", "U", "Nd", "N", "N", "Nd", "N", "U", "N", "N", "N", "N", "N", "N", "U", "U", "N", "U", "N", "N", "N", "N", "N", "N", "U", "N", "N", "U", "N", "N", "N", "N", "Nd", "N", "Nd", "N", "N", "N", "Nd", "U", "N", "U", "N", "N", "N", "U", "N", "N", "N", "U", "U", "N", "U", "N", "Nd", "N", "N", "U", "N", "N", "N", "N", "U", "N"], "fractional_positions": [[0.7500, 0.1250, 0.8750], [0.6982, 0.1281, 0.0262], [0.8018, 0.4738, 0.3719], [0.2500, 0.6250, 0.8750], [0.8750, 0.7500, 0.1250], [0.4299, 0.1281, 0.6019], [0.6250, 0.8750, 0.2500], [0.6250, 0.3750, 0.7500], [0.3981, 0.3719, 0.5701], [0.8750, 0.1250, 0.2500], [0.3750, 0.7500, 0.6250], [0.6250, 0.7500, 0.8750], [0.0000, 0.5000, 0.5000], [0.7500, 0.8750, 0.6250], [0.5000, 0.5000, 0.5000], [0.5262, 0.3280, 0.8981], [0.6982, 0.5701, 0.1720], [0.8750, 0.2500, 0.6250], [0.1250, 0.2500, 0.8750], [0.1281, 0.4299, 0.1019], [0.8280, 0.9299, 0.3018], [0.3750, 0.6250, 0.2500], [0.8018, 0.3280, 0.9299], [0.3750, 0.1250, 0.7500], [0.1281, 0.6982, 0.5262], [0.8981, 0.8280, 0.5262], [0.8280, 0.8981, 0.0262], [0.0701, 0.1720, 0.1982], [0.6019, 0.9738, 0.6720], [0.3981, 0.0262, 0.3280], [0.2500, 0.8750, 0.1250], [0.8750, 0.6250, 0.7500], [0.6720, 0.4738, 0.6019], [0.2500, 0.3750, 0.6250], [0.5701, 0.8719, 0.3981], [0.3018, 0.4299, 0.8280], [0.8981, 0.0701, 0.8719], [0.1982, 0.5262, 0.6281], [0.3280, 0.5262, 0.3981], [0.5262, 0.1982, 0.1281], [0.5000, 0.0000, 0.0000], [0.3280, 0.8018, 0.4299], [0.1982, 0.6720, 0.0701], [0.5000, 0.0000, 0.5000], [0.1720, 0.1019, 0.9738], [0.6281, 0.0262, 0.1982], [0.9738, 0.6019, 0.1720], [0.8719, 0.5701, 0.8981], [0.1250, 0.8750, 0.7500], [0.0701, 0.8981, 0.3719], [0.7500, 0.3750, 0.1250], [0.3719, 0.9738, 0.8018], [0.4299, 0.3018, 0.3280], [0.9299, 0.1019, 0.6281], [0.6250, 0.2500, 0.3750], [0.5000, 0.5000, 0.0000], [0.9738, 0.3719, 0.3018], [0.1250, 0.3750, 0.2500], [0.4738, 0.6720, 0.1019], [0.1019, 0.9299, 0.1281], [0.0262, 0.3981, 0.8280], [0.3750, 0.2500, 0.1250], [0.8719, 0.3018, 0.4738], [0.3018, 0.8719, 0.9738], [0.6019, 0.6281, 0.4299], [0.7500, 0.6250, 0.3750], [0.0000, 0.5000, 0.0000], [0.1720, 0.0701, 0.6982], [0.0000, 0.0000, 0.0000], [0.1019, 0.1720, 0.4738], [0.2500, 0.1250, 0.3750], [0.6281, 0.6019, 0.9299], [0.9299, 0.8280, 0.8018], [0.1250, 0.7500, 0.3750], [0.6720, 0.1982, 0.5701], [0.3719, 0.3981, 0.0701], [0.4738, 0.8018, 0.8719], [0.0262, 0.6281, 0.6982], [0.0000, 0.0000, 0.5000], [0.5701, 0.6982, 0.6720]]}